# BiI2NO

A relaxed structure of BiI2NO (PBE, Alexandria via LeMat-Bulk).

a = 4.911 Å, b = 4.911 Å, c = 4.303 Å
α = 90.00°, β = 90.00°, γ = 90.00°
Fractional positions:
I: 0.000 0.500 0.000
Bi: 0.500 0.500 0.500
O: 0.000 0.000 0.500
I: 0.500 0.000 0.000
N: 0.000 0.000 0.000

Crystal system: tetragonal
Total magnetic moment (μB/cell): 0.00
Calculated volume (Å³ per cell): 104
SG: P4/mmm (123)
E_tot (eV/f.u.): -14.8